Entry 1:
! UTi2Bi PBE-GGA relaxed; values from VASP
! **M_tot**: 2.73 μB per cell
! **Formation energy**: 0.069 eV/atom
&SYSTEM
  ibrav = 0, nat = 4, ntyp = 3
/
ATOMIC_SPECIES
U 238.03 U.upf
Bi 208.98 Bi.upf
Ti 47.87 Ti.upf
CELL_PARAMETERS angstrom
3.6992 0.0000 0.0000
0.0000 4.6813 0.0000
0.0000 0.0000 4.6813
ATOMIC_POSITIONS angstrom
U 1.8496 2.3407 2.3407
Bi 1.8496 0.0000 0.0000
Ti 0.0000 0.0000 2.3407
Ti 0.0000 2.3407 0.0000

---

Entry 2:
! TiVBi2 PBE-GGA relaxed; values from VASP
! **M_tot**: 0.46 μB per cell
! **Formation energy**: 0.236 eV/atom
&SYSTEM
  ibrav = 0, nat = 4, ntyp = 3
/
ATOMIC_SPECIES
V 50.94 V.upf
Bi 208.98 Bi.upf
Ti 47.87 Ti.upf
CELL_PARAMETERS angstrom
0.0000 3.5173 3.5173
3.5173 0.0000 3.5173
3.5173 3.5173 0.0000
ATOMIC_POSITIONS angstrom
V 3.5173 3.5173 3.5173
Bi 1.7587 1.7587 1.7587
Bi 5.2760 5.2760 5.2760
Ti 0.0000 0.0000 0.0000

---

Entry 3:
! Ti7V2Bi3 PBE-GGA relaxed; values from VASP
! **M_tot**: 0.29 μB per cell
! **Formation energy**: 0.212 eV/atom
&SYSTEM
  ibrav = 0, nat = 12, ntyp = 3
/
ATOMIC_SPECIES
Ti 47.87 Ti.upf
V 50.94 V.upf
Bi 208.98 Bi.upf
CELL_PARAMETERS angstrom
-0.1516 3.3783 -0.6352
0.1678 -0.8809 -4.7250
-13.7262 -0.4305 0.9856
ATOMIC_POSITIONS angstrom
Ti -11.3227 0.4919 -4.0014
Ti -2.3871 1.5750 -0.3732
Ti -6.8423 0.8210 -3.3201
Ti -6.8676 1.2459 -1.0545
Ti 0.0000 0.0000 0.0000
Ti -11.2907 -0.7587 -1.3411
Ti -2.2677 -0.5527 -2.3983
V -4.3305 1.1453 -2.1946
V -9.3793 0.9216 -2.1800
Bi -9.0502 -0.3136 0.4917
Bi -4.5081 -0.9978 -4.2311
Bi 0.0081 1.2487 -2.6801

---

Entry 4:
! Ti2VBi PBE-GGA relaxed; values from VASP
! **M_tot**: 0.00 μB per cell
! **Formation energy**: -0.022 eV/atom
&SYSTEM
  ibrav = 0, nat = 4, ntyp = 3
/
ATOMIC_SPECIES
Ti 47.87 Ti.upf
Bi 208.98 Bi.upf
V 50.94 V.upf
CELL_PARAMETERS angstrom
3.4574 0.0000 0.0000
0.0000 3.4574 0.0000
0.0000 0.0000 6.0196
ATOMIC_POSITIONS angstrom
Ti 0.0000 0.0000 4.6683
Ti 0.0000 0.0000 1.3512
Bi 1.7287 1.7287 3.0098
V 1.7287 1.7287 0.0000

---

Entry 5:
! TiVBi2 PBE-GGA relaxed; values from VASP
! **M_tot**: 3.92 μB per cell
! **Formation energy**: 0.499 eV/atom
&SYSTEM
  ibrav = 0, nat = 4, ntyp = 3
/
ATOMIC_SPECIES
Ti 47.87 Ti.upf
Bi 208.98 Bi.upf
V 50.94 V.upf
CELL_PARAMETERS angstrom
-2.3716 -2.3793 -0.3275
0.4506 -2.5444 -2.1716
3.7940 -7.0619 6.4381
ATOMIC_POSITIONS angstrom
Ti 0.9365 -5.9928 1.9695
Bi 2.5542 -5.5464 4.4052
Bi -0.6812 -6.4392 -0.4663
V 0.0000 0.0000 0.0000

---

Entry 6:
! Ti2V2Bi PBE-GGA relaxed; values from VASP
! **M_tot**: 0.00 μB per cell
! **Formation energy**: 0.133 eV/atom
&SYSTEM
  ibrav = 0, nat = 10, ntyp = 3
/
ATOMIC_SPECIES
V 50.94 V.upf
Bi 208.98 Bi.upf
Ti 47.87 Ti.upf
CELL_PARAMETERS angstrom
7.2051 0.0000 0.0000
0.0000 7.2051 0.0000
0.0000 0.0000 3.3763
ATOMIC_POSITIONS angstrom
V 2.8720 6.4746 0.0000
V 6.4746 4.3331 0.0000
V 4.3331 0.7305 0.0000
V 0.7305 2.8720 0.0000
Bi 0.0000 0.0000 0.0000
Bi 3.6026 3.6026 0.0000
Ti 1.3619 4.9644 1.6881
Ti 4.9644 5.8433 1.6881
Ti 5.8433 2.2407 1.6881
Ti 2.2407 1.3619 1.6881

---

Entry 7:
! Ti8VBi2 PBE-GGA relaxed; values from VASP
! **M_tot**: 0.00 μB per cell
! **Formation energy**: -0.024 eV/atom
&SYSTEM
  ibrav = 0, nat = 11, ntyp = 3
/
ATOMIC_SPECIES
Ti 47.87 Ti.upf
V 50.94 V.upf
Bi 208.98 Bi.upf
CELL_PARAMETERS angstrom
-4.1272 -0.1894 -2.3962
-0.8037 -5.9957 1.8581
-0.8329 4.8629 5.8100
ATOMIC_POSITIONS angstrom
Ti -2.7384 0.1085 4.7079
Ti -3.5456 -4.0179 1.6645
Ti -4.6972 -1.9101 3.4814
Ti -5.1475 3.0988 3.8610
Ti -1.0665 0.5880 1.7904
Ti -2.2181 2.6958 3.6073
Ti -3.0253 -1.4307 0.5640
Ti -0.6162 -4.4209 1.4108
V -2.0636 -0.0947 -1.1981
Bi -4.0978 0.8965 2.2271
Bi -1.6659 -2.2186 3.0447

---

Entry 8:
! TiVBi2 PBE-GGA relaxed; values from VASP
! **M_tot**: 6.02 μB per cell
! **Formation energy**: 0.701 eV/atom
&SYSTEM
  ibrav = 0, nat = 8, ntyp = 3
/
ATOMIC_SPECIES
V 50.94 V.upf
Bi 208.98 Bi.upf
Ti 47.87 Ti.upf
CELL_PARAMETERS angstrom
-3.5514 3.6344 -4.0221
-4.5180 -4.6416 -0.2050
-6.9467 2.1130 2.8220
ATOMIC_POSITIONS angstrom
V 0.0000 0.0000 0.0000
V -7.2664 2.6219 -1.6568
Bi -4.5157 2.2141 -1.8278
Bi -5.0097 -1.9130 0.0686
Bi -8.2428 1.2000 0.5311
Bi -12.2639 0.7105 -1.5818
Ti -4.0347 -0.5036 -2.1135
Ti -7.7497 -1.5161 0.2518

---

Entry 9:
! Ti4VBi PBE-GGA relaxed; values from VASP
! **M_tot**: 0.00 μB per cell
! **Formation energy**: 0.003 eV/atom
&SYSTEM
  ibrav = 0, nat = 12, ntyp = 3
/
ATOMIC_SPECIES
Ti 47.87 Ti.upf
V 50.94 V.upf
Bi 208.98 Bi.upf
CELL_PARAMETERS angstrom
4.9008 -0.0014 0.0000
-0.0014 4.8911 -0.3089
-2.4499 -1.8840 9.0326
ATOMIC_POSITIONS angstrom
Ti 1.2251 -0.7657 7.3218
Ti 3.6757 1.3251 1.5564
Ti 1.2245 3.7713 1.4020
Ti -1.2261 1.6805 7.1673
Ti -1.2265 -0.8595 5.8428
Ti 1.2264 1.4203 3.0354
Ti 3.6761 3.8651 2.8809
Ti 1.2232 1.5854 5.6884
V 1.2255 -0.9427 4.5163
V -1.2256 1.5035 4.3619
Bi 1.2248 1.7832 8.8010
Bi 1.2248 1.2224 -0.0772

---

Entry 10:
! Ti7V2Bi2 PBE-GGA relaxed; values from VASP
! **M_tot**: 0.00 μB per cell
! **Formation energy**: 0.046 eV/atom
&SYSTEM
  ibrav = 0, nat = 11, ntyp = 3
/
ATOMIC_SPECIES
Ti 47.87 Ti.upf
V 50.94 V.upf
Bi 208.98 Bi.upf
CELL_PARAMETERS angstrom
-1.3451 -0.0814 3.1740
-4.5872 -6.9878 -0.2500
3.3475 -7.0030 3.1122
ATOMIC_POSITIONS angstrom
Ti -0.3944 -2.5945 3.5126
Ti -0.4294 -9.4663 5.1946
Ti 2.6171 -7.0435 4.6747
Ti -2.1574 -4.8574 2.7074
Ti -2.1244 -9.2114 2.6098
Ti -0.3270 -11.4812 3.3133
Ti 0.8795 -4.6116 2.1276
V -2.6386 -11.1747 4.2146
V -1.3556 -2.8947 1.2244
Bi -2.4100 -6.9919 0.6725
Bi -0.0769 -7.0384 3.5332

---

Entry 11:
! Ti7VBi2 PBE-GGA relaxed; values from VASP
! **M_tot**: 3.18 μB per cell
! **Formation energy**: 0.593 eV/atom
&SYSTEM
  ibrav = 0, nat = 10, ntyp = 3
/
ATOMIC_SPECIES
Ti 47.87 Ti.upf
V 50.94 V.upf
Bi 208.98 Bi.upf
CELL_PARAMETERS angstrom
6.6257 0.0000 0.0000
3.3128 5.7380 0.0000
3.3128 1.9127 5.4098
ATOMIC_POSITIONS angstrom
Ti 6.6257 3.8253 2.7049
Ti 6.6257 5.7706 4.0804
Ti 4.9410 4.7980 1.3294
Ti 8.3103 2.8527 4.0804
Ti 8.3103 4.7980 1.3294
Ti 4.9410 2.8527 4.0804
Ti 6.6257 1.8801 1.3294
V 0.0000 0.0000 0.0000
Bi 3.3128 1.9127 1.3525
Bi 9.9385 5.7380 4.0574

---

Entry 12:
! Ti2VBi PBE-GGA relaxed; values from VASP
! **M_tot**: 0.00 μB per cell
! **Formation energy**: 0.039 eV/atom
&SYSTEM
  ibrav = 0, nat = 4, ntyp = 3
/
ATOMIC_SPECIES
Ti 47.87 Ti.upf
Bi 208.98 Bi.upf
V 50.94 V.upf
CELL_PARAMETERS angstrom
3.7430 0.0000 0.0000
0.0000 4.3665 0.0000
0.0000 0.0000 4.3665
ATOMIC_POSITIONS angstrom
Ti 0.0000 0.0000 2.1833
Ti 0.0000 2.1833 0.0000
Bi 1.8715 0.0000 0.0000
V 1.8715 2.1833 2.1833

---

- M_tot of number 10 (Ti7V2Bi2)?
  0.00 μB per cell